The following is a PBE calculation of a relaxed structure of RbScInI2, from Alexandria.

The structure in extended XYZ format:
```
5
Lattice="6.6186 0.0000 0.0000 0.0000 6.6186 0.0000 0.0000 0.0000 6.7168" Properties=species:S:1:pos:R:3 pbc="T T T"
Rb 0.0000 0.0000 0.0000
Sc 0.0000 0.0000 3.3584
In 3.3093 3.3093 3.3584
I 0.0000 3.3093 0.0000
I 3.3093 0.0000 0.0000
```

Output
- Mass density: 2.8 g cm⁻³
- Symmetry: No. 123
- E_form (uncorrected): 171 kJ/mol of formula units

***

The following is a PBE calculation of a relaxed structure of Rb2InSeI6, from Alexandria.

The structure in extended XYZ format:
```
10
Lattice="-4.3236 4.3236 5.9690 4.3236 -4.3236 5.9690 4.3236 4.3236 -5.9690" Properties=species:S:1:pos:R:3 pbc="T T T"
Rb 4.3236 0.0000 2.9845
Rb 0.0000 4.3236 2.9845
In 0.0000 0.0000 0.0000
Se 0.0000 0.0000 5.9690
I 2.0778 2.0778 0.0000
I 2.2458 -2.2458 5.9690
I 0.0000 0.0000 3.1795
I 0.0000 0.0000 8.7586
I -2.2458 2.2458 5.9690
I 2.2458 2.2458 5.9690
```

Output
- Mass density: 4.2 g cm⁻³
- Symmetry: No. 139
- E_form (uncorrected): -660 kJ/mol of formula units

***

The following is a PBE calculation of a relaxed structure of RbSmIn2I6, from Alexandria.

The structure in extended XYZ format:
```
10
Lattice="4.3463 2.5093 7.6773 -4.3463 2.5093 7.6773 0.0000 -5.0187 7.6773" Properties=species:S:1:pos:R:3 pbc="T T T"
Rb 0.0000 0.0000 0.0000
Sm 0.0000 0.0000 11.2641
In 0.0000 0.0000 6.8374
In 0.0000 0.0000 18.5977
I -2.4341 -0.1481 9.2932
I -1.4454 -2.1666 12.9259
I 1.3453 -2.0340 9.2931
I -1.1536 2.3351 12.9259
I 1.0888 2.1820 9.2931
I 2.5990 -0.1684 12.9259
```

Output
- Mass density: 4.1 g cm⁻³
- Symmetry: No. 146
- E_form (uncorrected): -1010 kJ/mol of formula units

***

The following is a PBE calculation of a relaxed structure of RbIn2SnI5, from Alexandria.

The structure in extended XYZ format:
```
18
Lattice="2.3685 -10.1839 0.0000 2.3685 10.1839 0.0000 0.0000 0.0000 18.3536" Properties=species:S:1:pos:R:3 pbc="T T T"
Rb 2.3685 8.8613 9.1768
Rb 2.3685 -8.8613 0.0000
In 2.3685 3.0153 5.8789
In 2.3685 1.0912 13.2566
In 2.3685 -1.0912 4.0798
In 2.3685 -3.0153 15.0557
Sn 2.3685 5.2186 2.0870
Sn 2.3685 -5.2186 11.2638
I 2.3685 9.5686 15.3354
I 2.3685 8.3195 1.7655
I 2.3685 5.1991 9.0811
I 2.3685 4.7709 13.5316
I 2.3685 1.9873 2.6205
I 2.3685 -1.9873 11.7973
I 2.3685 -4.7709 4.3548
I 2.3685 -5.1991 18.2579
I 2.3685 -8.3195 10.9423
I 2.3685 -9.5686 6.1586
```

Output
- Mass density: 4.0 g cm⁻³
- Symmetry: No. 36
- E_form (uncorrected): -586 kJ/mol of formula units